Run A
Compound: MnAlMo
Source: the Alexandria database
Functional: SCAN
Structure: single point on PBEsol structure

Properties
Volume ... 13.4 A^3/atom
D(E_F) ... 0.37 states/eV/atom

Cell: 4.166 4.166 2.666 Å, 90.00 90.00 120.00°
Atoms (fractional coordinates):
Mn  0.000  0.000  0.000
Al  0.333  0.667  0.681
Mo  0.667  0.333  0.250

=====

Run B
Compound: MnAlMo
Source: the Alexandria database
Functional: SCAN
Structure: single point on PBEsol structure

Properties
Volume ... 13.6 A^3/atom
D(E_F) ... 0.69 states/eV/atom

Cell: 4.577 4.577 4.577 Å, 146.35 129.36 62.18°
Atoms (fractional coordinates):
Mn  0.000  0.000  0.000
Al  0.658  0.658  0.000
Mo  0.327  0.327  0.000

=====

Run C
Compound: MnAlMo
Source: the Alexandria database
Functional: SCAN
Structure: single point on PBEsol structure

Properties
Volume ... 13.2 A^3/atom
D(E_F) ... 0.44 states/eV/atom

Cell: 5.019 5.019 5.019 Å, 145.93 145.93 48.95°
Atoms (fractional coordinates):
Mn  0.000  0.000  0.000
Al  0.336  0.336  0.000
Mo  0.646  0.646  0.000

=====

Stability ranking, top and bottom: run C is the most stable and run B is the least stable.